Material: HoErCu2As4
Method: DFT, PBE-GGA
State: relaxed

Unit cell a=3.893 b=3.893 c=9.781 alpha=90.00 beta=90.00 gamma=90.00
Fractional positions:
As (0.500, 0.000, 0.001)
As (0.000, 0.500, 0.001)
As (0.000, 0.000, 0.662)
As (0.500, 0.500, 0.337)
Er (0.000, 0.000, 0.237)
Cu (0.500, 0.000, 0.500)
Cu (0.000, 0.500, 0.500)
Ho (0.500, 0.500, 0.764)

Computed properties:
V (Å³ per cell): 148.3

***

Material: CsCuH3
Method: DFT, PBE-GGA
State: relaxed

Unit cell a=6.179 b=6.179 c=6.179 alpha=120.77 beta=120.77 gamma=88.67
Fractional positions:
H (0.177, 0.177, 0.353)
H (0.177, 0.823, 0.000)
H (0.823, 0.177, 0.000)
H (0.325, 0.325, 0.000)
H (0.823, 0.823, 0.647)
H (0.675, 0.675, 0.000)
Cs (0.250, 0.750, 0.500)
Cs (0.750, 0.250, 0.500)
Cu (0.000, 0.000, 0.000)
Cu (0.500, 0.500, 0.000)

Computed properties:
V (Å³ per cell): 164.8
Energy relative to the lowest polymorph listed for this composition (meV/atom): 0.0

***

Material: Pa2SiIr3
Method: DFT, PBE-GGA
State: relaxed

Unit cell a=5.128 b=5.128 c=5.128 alpha=64.91 beta=64.91 gamma=64.91
Fractional positions:
Ir (0.500, 0.000, 0.000)
Ir (0.000, 0.000, 0.500)
Ir (0.000, 0.500, 0.000)
Pa (0.379, 0.379, 0.379)
Pa (0.621, 0.621, 0.621)
Si (0.000, 0.000, 0.000)

Computed properties:
V (Å³ per cell): 105.6

***

Material: PrTePb
Method: DFT, PBE-GGA
State: relaxed

Unit cell a=5.294 b=5.294 c=5.294 alpha=60.00 beta=60.00 gamma=60.00
Fractional positions:
Pb (0.250, 0.250, 0.250)
Te (0.000, 0.000, 0.000)
Pr (0.750, 0.750, 0.750)

Computed properties:
V (Å³ per cell): 104.9

***

Number 1: raw total energy -5.21 eV per atom. Number 2: raw total energy -2.93 eV per atom. Number 3: raw total energy -9.44 eV per atom. Number 4: raw total energy -4.35 eV per atom.